Record 1
# NbBr5 GGA-PBE relaxed
data_NbBr5
_cell_length_a 7.944
_cell_length_b 13.599
_cell_length_c 8.544
_cell_angle_alpha 90.00
_cell_angle_beta 90.00
_cell_angle_gamma 90.00
_space_group_name_H-M_alt 'C m c m'
_space_group_IT_number 63
_space_group_name_Hall '-C 2c 2'
loop_
_atom_site_label
_atom_site_fract_x
_atom_site_fract_y
_atom_site_fract_z
_atom_site_occupancy
Nb1 0.000 0.167 0.250 1
Br1 0.000 0.165 0.542 1
Br2 0.000 0.346 0.250 1
Br3 0.232 0.421 0.750 1
# Offset from the most stable computed form ... 0.002 eV per atom
# Total energy ... -3.896 eV/atom


Record 2
# NdNbBr2O2 GGA-PBE relaxed
data_NdNbBr2O2
_cell_length_a 3.837
_cell_length_b 3.837
_cell_length_c 8.158
_cell_angle_alpha 90.00
_cell_angle_beta 90.00
_cell_angle_gamma 90.00
_space_group_name_H-M_alt 'P 4 m m'
_space_group_IT_number 99
_space_group_name_Hall 'P 4 -2'
loop_
_atom_site_label
_atom_site_fract_x
_atom_site_fract_y
_atom_site_fract_z
_atom_site_occupancy
Nd1 0.000 0.000 0.000 1
Nb1 0.500 0.500 0.719 1
Br1 0.000 0.000 0.524 1
Br2 0.500 0.500 0.194 1
O1 0.000 0.500 0.840 1
# Total energy ... -6.663 eV/atom


Record 3
# Nb3Br7O GGA-PBE relaxed
data_Nb3Br7O
_cell_length_a 7.0873
_cell_length_b 7.0873
_cell_length_c 6.6589
_cell_angle_alpha 90.00
_cell_angle_beta 90.00
_cell_angle_gamma 120.00
_space_group_name_H-M_alt 'P 3 m 1'
_space_group_IT_number 156
_space_group_name_Hall 'P 3 -2"'
loop_
_atom_site_label
_atom_site_fract_x
_atom_site_fract_y
_atom_site_fract_z
_atom_site_occupancy
Nb1 0.2027 0.4054 0.0000 1
Br1 0.0000 0.0000 0.7988 1
Br2 0.3385 0.1693 0.2238 1
Br3 0.5029 0.0058 0.7394 1
O1 0.3333 0.6667 0.2012 1
# Total energy ... -5.332 eV/atom


- Which of these has the highest total energy?
  NbBr5